Entry P
Crystalline SrNbS4 at its relaxed geometry. Source: Alexandria, functional GGA-PBE.

The structure in POSCAR format:
```
SrNbS4
1.0
2.295 -8.598 0.000
2.295 8.598 0.000
0.000 0.000 7.868
Sr Nb S
2 2 8
Cartesian
2.295 5.945 3.934
2.295 -5.945 0.000
2.295 1.753 4.132
2.295 -1.753 0.198
2.295 6.930 1.047
2.295 3.517 5.865
2.295 2.895 2.185
2.295 0.470 7.503
2.295 -0.470 3.569
2.295 -2.895 6.120
2.295 -3.517 1.930
2.295 -6.930 4.981
```

Values from the calculation:
As for the total moment: 0.0 Bohr magnetons per cell. As for the space-group type: Cmc2_1, No. 36.

=====

Entry Q
Crystalline SrNbS4 at its relaxed geometry. Source: Alexandria, functional GGA-PBE.

The structure in POSCAR format:
```
SrNbS4
1.0
3.567 -6.655 0.000
3.567 6.655 0.000
-0.543 0.000 6.075
Sr Nb S
2 2 8
Cartesian
3.160 4.895 4.556
3.431 -4.895 1.519
3.431 0.513 1.519
3.160 -0.513 4.556
2.706 2.858 2.264
1.348 0.644 5.589
1.620 -0.644 2.552
4.157 2.858 0.773
2.434 -2.858 5.301
4.971 0.644 3.523
5.242 -0.644 0.486
3.885 -2.858 3.810
```

Values from the calculation:
As for the total moment: 0.0 Bohr magnetons per cell. As for the space-group type: C2/c, No. 15.

=====

Relative energies, in meV per atom, with the most stable structure set to zero: entry P 146; entry Q 0.

=====

Entry P
Crystalline TaNbS at its relaxed geometry. Source: Alexandria, functional GGA-PBE.

The structure in POSCAR format:
```
TaNbS
1.0
-1.493 1.493 5.530
1.493 -1.493 5.530
1.493 1.493 -5.530
Ta Nb S
1 1 1
Cartesian
0.000 0.000 0.000
0.000 0.000 7.858
0.000 0.000 4.089
```

Values from the calculation:
As for the total moment: 0.0 Bohr magnetons per cell. As for the space-group type: I4mm, No. 107.

=====

Entry Q
Crystalline TaNbS at its relaxed geometry. Source: Alexandria, functional GGA-PBE.

The structure in POSCAR format:
```
TaNbS
1.0
3.422 0.000 0.000
-1.711 2.964 0.000
0.000 0.000 5.087
Ta Nb S
1 1 1
Cartesian
0.000 0.000 0.000
1.711 0.988 2.268
0.000 1.976 3.684
```

Values from the calculation:
As for the total moment: 0.0 Bohr magnetons per cell. As for the space-group type: P3m1, No. 156.

=====

Entry R
Crystalline TaNbS at its relaxed geometry. Source: Alexandria, functional GGA-PBE.

The structure in POSCAR format:
```
TaNbS
1.0
3.344 0.000 0.000
0.000 3.344 0.000
0.000 0.000 9.356
Ta Nb S
2 2 2
Cartesian
0.836 0.836 0.784
2.508 2.508 8.572
0.836 0.836 6.827
2.508 2.508 2.529
0.836 0.836 3.484
2.508 2.508 5.872
```

Values from the calculation:
As for the total moment: 0.0 Bohr magnetons per cell. As for the space-group type: P4/nmm, No. 129.

=====

Entry S
Crystalline TaNbS at its relaxed geometry. Source: Alexandria, functional GGA-PBE.

The structure in POSCAR format:
```
TaNbS
1.0
5.549 -1.516 0.000
5.549 1.516 0.000
-3.917 0.000 5.890
Ta Nb S
2 2 2
Cartesian
0.000 0.000 0.000
3.381 0.000 3.854
0.687 0.000 3.210
8.063 0.000 1.164
-0.694 0.000 5.244
4.786 0.000 1.795
```

Values from the calculation:
As for the total moment: 0.0 Bohr magnetons per cell. As for the space-group type: Cm, No. 8.

=====

Relative energies, in meV per atom, with the most stable structure set to zero: entry P 317; entry Q 333; entry R 0; entry S 180.

=====

Entry P
Crystalline Ta2NbS6 at its relaxed geometry. Source: Alexandria, functional GGA-PBE.

The structure in POSCAR format:
```
Ta2NbS6
1.0
6.085 -2.202 0.000
6.085 2.202 0.000
-4.407 0.000 7.420
Ta Nb S
2 1 6
Cartesian
1.426 0.000 0.687
6.336 0.000 6.733
-2.204 0.000 3.710
-0.673 0.000 1.696
-0.530 0.000 7.063
2.708 0.000 2.840
5.054 0.000 4.581
8.292 0.000 0.358
8.435 0.000 5.725
```

Values from the calculation:
As for the total moment: 1.2 Bohr magnetons per cell. As for the space-group type: C2/m, No. 12.

=====

Entry Q
Crystalline Ta2NbS6 at its relaxed geometry. Source: Alexandria, functional GGA-PBE.

The structure in POSCAR format:
```
Ta2NbS6
1.0
8.361 -1.691 0.000
8.361 1.691 0.000
-3.093 0.000 7.091
Ta Nb S
2 1 6
Cartesian
1.642 0.000 2.230
11.987 0.000 4.861
8.361 0.000 0.000
-0.707 0.000 1.721
4.070 0.000 3.098
2.823 0.000 6.456
10.806 0.000 0.635
9.559 0.000 3.993
14.336 0.000 5.370
```

Values from the calculation:
As for the total moment: 0.0 Bohr magnetons per cell. As for the space-group type: C2/m, No. 12.

=====

Relative energies, in meV per atom, with the most stable structure set to zero: entry P 373; entry Q 0.

=====

Entry P
Crystalline TaNb2S6 at its relaxed geometry. Source: Alexandria, functional GGA-PBE.

The structure in POSCAR format:
```
TaNb2S6
1.0
8.365 -1.693 0.000
8.365 1.693 0.000
-3.151 0.000 7.110
Ta Nb S
1 2 6
Cartesian
0.000 0.000 0.000
3.403 0.000 4.642
10.176 0.000 2.469
2.370 0.000 0.692
1.007 0.000 4.101
5.851 0.000 5.433
7.728 0.000 1.677
12.572 0.000 3.010
11.209 0.000 6.419
```

Values from the calculation:
As for the total moment: 0.0 Bohr magnetons per cell. As for the space-group type: C2/m, No. 12.

=====

Entry Q
Crystalline TaNb2S6 at its relaxed geometry. Source: Alexandria, functional GGA-PBE.

The structure in POSCAR format:
```
TaNb2S6
1.0
6.025 0.000 0.000
0.000 6.050 0.000
-6.015 0.000 9.621
Ta Nb S
2 4 12
Cartesian
0.000 0.000 0.000
-3.008 3.025 4.811
-2.540 0.952 7.238
0.467 2.072 2.427
-0.458 3.977 7.194
2.550 5.097 2.384
-1.103 0.274 2.166
-4.110 2.751 6.977
1.092 3.959 0.810
-1.915 5.116 5.620
2.058 1.064 0.846
-0.949 1.961 5.657
0.959 4.088 3.965
-2.049 4.986 8.775
1.925 0.934 4.001
-1.083 2.091 8.811
4.120 3.299 2.645
1.112 5.776 7.455
```

Values from the calculation:
As for the total moment: 0.0 Bohr magnetons per cell. As for the space-group type: P2_1/c, No. 14.

=====

Relative energies, in meV per atom, with the most stable structure set to zero: entry P 0; entry Q 233.

=====

Entry P
Crystalline NbTcS4 at its relaxed geometry. Source: Alexandria, functional GGA-PBE.

The structure in POSCAR format:
```
NbTcS4
1.0
6.890 -1.622 0.000
6.890 1.622 0.000
-1.137 0.000 5.682
Nb Tc S
1 1 4
Cartesian
0.000 0.000 0.000
6.564 0.000 2.326
1.398 0.000 2.025
5.111 0.000 0.400
7.396 0.000 4.689
11.858 0.000 3.249
```

Values from the calculation:
As for the total moment: 0.0 Bohr magnetons per cell. As for the space-group type: Cm, No. 8.

=====

Entry Q
Crystalline NbTcS4 at its relaxed geometry. Source: Alexandria, functional GGA-PBE.

The structure in POSCAR format:
```
NbTcS4
1.0
5.993 0.000 0.000
0.000 5.913 0.000
-0.101 0.000 5.933
Nb Tc S
2 2 8
Cartesian
0.000 0.000 0.000
-0.051 2.956 2.966
2.946 0.000 2.966
2.996 2.956 0.000
0.846 0.792 2.193
0.795 2.165 5.159
2.210 3.758 2.138
2.159 5.111 5.104
3.732 0.801 0.829
3.682 2.155 3.795
5.096 3.748 0.773
5.046 5.121 3.739
```

Values from the calculation:
As for the total moment: 1.2 Bohr magnetons per cell. As for the space-group type: P2_1/c, No. 14.

=====

Relative energies, in meV per atom, with the most stable structure set to zero: entry P 0; entry Q 325.

=====

Entry P
Crystalline NbTcS2 at its relaxed geometry. Source: Alexandria, functional GGA-PBE.

The structure in POSCAR format:
```
NbTcS2
1.0
1.541 0.890 8.080
-1.541 0.890 8.080
0.000 -1.779 8.080
Nb Tc S
1 1 2
Cartesian
0.000 0.000 0.000
0.000 0.000 12.120
0.000 0.000 9.825
0.000 0.000 14.414
```

Values from the calculation:
As for the total moment: 0.3 Bohr magnetons per cell. As for the space-group type: R-3m, No. 166.

=====

Entry Q
Crystalline NbTcS2 at its relaxed geometry. Source: Alexandria, functional GGA-PBE.

The structure in POSCAR format:
```
NbTcS2
1.0
-2.755 2.755 5.112
2.755 -2.755 5.112
2.755 2.755 -5.112
Nb Tc S
2 2 4
Cartesian
0.000 0.000 0.000
0.000 2.755 2.556
2.755 0.000 2.556
0.000 0.000 5.112
1.377 -1.276 3.834
1.478 1.377 1.278
1.377 4.031 -1.278
1.276 1.377 6.390
```

Values from the calculation:
As for the total moment: 0.0 Bohr magnetons per cell. As for the space-group type: I-42d, No. 122.

=====

Entry R
Crystalline NbTcS2 at its relaxed geometry. Source: Alexandria, functional GGA-PBE.

The structure in POSCAR format:
```
NbTcS2
1.0
0.000 3.044 3.044
3.044 0.000 3.044
3.044 3.044 0.000
Nb Tc S
1 1 2
Cartesian
0.000 0.000 0.000
3.044 3.044 3.044
1.522 1.522 1.522
4.566 4.566 4.566
```

Values from the calculation:
As for the total moment: 0.0 Bohr magnetons per cell. As for the space-group type: Fm-3m, No. 225.

=====

Relative energies, in meV per atom, with the most stable structure set to zero: entry P 0; entry Q 105; entry R 33.

=====

Entry P
Crystalline Nb2TeS at its relaxed geometry. Source: Alexandria, functional GGA-PBE.

The structure in POSCAR format:
```
Nb2TeS
1.0
0.000 3.295 3.295
3.295 0.000 3.295
3.295 3.295 0.000
Nb Te S
2 1 1
Cartesian
1.647 1.647 1.647
4.942 4.942 4.942
0.000 0.000 0.000
3.295 3.295 3.295
```

Values from the calculation:
As for the total moment: 0.0 Bohr magnetons per cell. As for the space-group type: Fm-3m, No. 225.

=====

Entry Q
Crystalline Nb2TeS at its relaxed geometry. Source: Alexandria, functional GGA-PBE.

The structure in POSCAR format:
```
Nb2TeS
1.0
-2.462 2.462 7.691
2.462 -2.462 7.691
2.462 2.462 -7.691
Nb Te S
4 2 2
Cartesian
3.692 0.842 -1.923
0.842 1.231 1.923
-1.231 1.620 5.768
1.620 1.231 9.613
2.462 0.000 3.845
0.000 0.000 7.691
0.000 0.000 0.000
0.000 2.462 3.845
```

Values from the calculation:
As for the total moment: 0.0 Bohr magnetons per cell. As for the space-group type: I-42d, No. 122.

=====

Relative energies, in meV per atom, with the most stable structure set to zero: entry P 0; entry Q 135.

=====

Entry P
Crystalline Ti3NbS at its relaxed geometry. Source: Alexandria, functional GGA-PBE.

The structure in POSCAR format:
```
Ti3NbS
1.0
4.475 0.000 0.000
0.000 4.475 0.000
0.000 0.000 4.475
Ti Nb S
3 1 1
Cartesian
0.000 0.000 2.238
0.000 2.238 0.000
2.238 0.000 0.000
2.238 2.238 2.238
0.000 0.000 0.000
```

Values from the calculation:
As for the total moment: 0.0 Bohr magnetons per cell. As for the space-group type: Pm-3m, No. 221.

=====

Entry Q
Crystalline Ti3NbS at its relaxed geometry. Source: Alexandria, functional GGA-PBE.

The structure in POSCAR format:
```
Ti3NbS
1.0
4.811 0.000 0.000
0.000 4.811 0.000
0.000 0.000 4.811
Ti Nb S
3 1 1
Cartesian
0.000 0.000 2.405
0.000 2.405 0.000
2.405 0.000 0.000
0.000 0.000 0.000
2.405 2.405 2.405
```

Values from the calculation:
As for the total moment: 2.9 Bohr magnetons per cell. As for the space-group type: Pm-3m, No. 221.

=====

Entry R
Crystalline Ti3NbS at its relaxed geometry. Source: Alexandria, functional GGA-PBE.

The structure in POSCAR format:
```
Ti3NbS
1.0
5.094 -2.375 0.000
5.094 2.375 0.000
-2.927 0.000 7.095
Ti Nb S
6 2 2
Cartesian
-0.080 0.000 2.887
1.146 0.000 6.127
3.134 0.000 1.818
4.126 0.000 5.277
6.114 0.000 0.967
7.340 0.000 4.208
-1.577 0.000 6.723
8.837 0.000 0.372
2.094 0.000 3.959
5.166 0.000 3.136
```

Values from the calculation:
As for the total moment: 0.0 Bohr magnetons per cell. As for the space-group type: C2/m, No. 12.

=====

Relative energies, in meV per atom, with the most stable structure set to zero: entry P 222; entry Q 1548; entry R 0.

=====

Entry P
Crystalline TiNb4S8 at its relaxed geometry. Source: Alexandria, functional GGA-PBE.

The structure in POSCAR format:
```
TiNb4S8
1.0
3.400 1.963 5.937
-3.400 1.963 5.937
0.000 -3.925 5.937
Ti Nb S
1 4 8
Cartesian
0.000 0.000 0.000
-3.400 0.000 8.905
-1.700 0.981 2.968
1.700 0.981 2.968
0.000 0.000 8.905
0.000 -1.919 7.324
-1.662 0.960 7.324
0.000 0.000 4.499
-1.662 -0.960 10.487
1.662 0.960 7.324
0.000 0.000 13.311
1.662 -0.960 10.487
0.000 1.919 10.487
```

Values from the calculation:
As for the total moment: 0.0 Bohr magnetons per cell. As for the space-group type: R-3m, No. 166.

=====

Entry Q
Crystalline TiNb4S8 at its relaxed geometry. Source: Alexandria, functional GGA-PBE.

The structure in POSCAR format:
```
TiNb4S8
1.0
6.697 0.000 0.000
-3.348 5.800 0.000
0.000 0.000 12.367
Ti Nb S
2 8 16
Cartesian
0.000 0.000 0.000
0.000 0.000 6.184
0.000 0.000 3.092
0.000 0.000 9.276
-1.622 2.930 3.092
1.622 2.930 3.092
0.000 5.739 3.092
3.348 0.061 9.276
1.727 2.869 9.276
4.970 2.869 9.276
0.000 1.935 7.690
0.000 1.935 10.861
-1.673 4.832 7.690
-1.673 4.832 10.861
0.000 3.866 1.494
0.000 3.866 4.690
1.676 0.967 1.506
1.676 0.967 4.678
1.673 4.832 7.690
1.673 4.832 10.861
3.348 1.933 7.677
3.348 1.933 10.874
5.021 0.967 1.506
5.021 0.967 4.678
3.348 3.865 1.506
3.348 3.865 4.678
```

Values from the calculation:
As for the total moment: 0.3 Bohr magnetons per cell. As for the space-group type: P6_3/mmc, No. 194.

=====

Relative energies, in meV per atom, with the most stable structure set to zero: entry P 177; entry Q 0.